Entry 1:
Entry from the Open Quantum Materials Database: an optimized crystal structure of BaErNO (PBE-GGA).

Cell lengths 4.585, 4.585, 9.157 Å; angles 90.00, 90.00, 90.03 degrees
Sites, in units of the cell vectors:
1 Ba 0.250 0.250 0.118
2 Ba 0.750 0.750 0.882
3 Er 0.750 0.250 0.500
4 Er 0.250 0.750 0.500
5 N 0.250 0.250 0.455
6 N 0.750 0.750 0.545
7 O 0.750 0.250 0.000
8 O 0.250 0.750 0.000

Values from the calculation:
E_tot = -52.5 eV for the cell shown
crystal system = tetragonal

=====

Entry 2:
Entry from the Open Quantum Materials Database: an optimized crystal structure of Sr2LuNbO6 (PBE-GGA).

Cell lengths 5.773, 5.812, 10.007 Å; angles 90.00, 125.09, 90.00 degrees
Sites, in units of the cell vectors:
1 Lu 0.000 0.000 0.000
2 Lu 0.000 0.500 0.500
3 Nb 0.500 0.500 0.000
4 Nb 0.500 0.000 0.500
5 O 0.261 0.298 0.039
6 O 0.340 0.780 0.040
7 O 0.815 0.482 0.240
8 O 0.185 0.982 0.260
9 O 0.660 0.280 0.460
10 O 0.739 0.798 0.461
11 O 0.261 0.202 0.539
12 O 0.340 0.720 0.540
13 O 0.815 0.018 0.740
14 O 0.185 0.518 0.760
15 O 0.660 0.220 0.960
16 O 0.739 0.702 0.961
17 Sr 0.744 0.032 0.250
18 Sr 0.256 0.532 0.250
19 Sr 0.744 0.468 0.750
20 Sr 0.256 0.968 0.750

Values from the calculation:
E_tot = -157.5 eV for the cell shown
crystal system = monoclinic

=====

Entry 3:
Entry from the Open Quantum Materials Database: an optimized crystal structure of PmSbAsO (PBE-GGA).

Cell lengths 4.811, 4.811, 7.517 Å; angles 90.00, 90.00, 90.00 degrees
Sites, in units of the cell vectors:
1 As 0.000 0.500 0.292
2 As 0.500 0.000 0.708
3 O 0.000 0.000 0.000
4 O 0.500 0.500 0.000
5 Pm 0.000 0.000 0.500
6 Pm 0.500 0.500 0.500
7 Sb 0.500 0.000 0.067
8 Sb 0.000 0.500 0.933

Values from the calculation:
E_tot = -42.1 eV for the cell shown
crystal system = tetragonal

=====

Entry 4:
Entry from the Open Quantum Materials Database: an optimized crystal structure of PrNdCd6 (PBE-GGA).

Cell lengths 4.956, 6.688, 6.688 Å; angles 64.51, 90.00, 90.00 degrees
Sites, in units of the cell vectors:
1 Cd 0.000 0.626 0.195
2 Cd 0.500 0.329 0.329
3 Cd 0.500 0.807 0.373
4 Cd 0.000 0.195 0.626
5 Cd 0.000 0.670 0.670
6 Cd 0.500 0.373 0.807
7 Nd 0.000 0.145 0.145
8 Pr 0.500 0.856 0.856

Values from the calculation:
crystal system = orthorhombic
formation energy from the elements = -322 meV/atom

=====

Entry 5:
Entry from the Open Quantum Materials Database: an optimized crystal structure of Zr3BePd2 (PBE-GGA).

Cell lengths 3.191, 3.191, 10.485 Å; angles 90.00, 90.00, 90.00 degrees
Sites, in units of the cell vectors:
1 Be 0.000 0.000 0.859
2 Pd 0.000 0.000 0.511
3 Pd 0.500 0.500 0.961
4 Zr 0.000 0.000 0.135
5 Zr 0.500 0.500 0.340
6 Zr 0.500 0.500 0.694

Values from the calculation:
E_tot = -42.3 eV for the cell shown
crystal system = tetragonal

=====

Entry 6:
Entry from the Open Quantum Materials Database: an optimized crystal structure of CsReHg (PBE-GGA).

Cell lengths 5.515, 5.515, 5.515 Å; angles 60.00, 60.00, 60.00 degrees
Sites, in units of the cell vectors:
1 Cs 0.250 0.250 0.250
2 Hg 0.000 0.000 0.000
3 Re 0.750 0.750 0.750

Values from the calculation:
E_tot = -7.8 eV for the cell shown
crystal system = cubic

=====

Entry 7:
Entry from the Open Quantum Materials Database: an optimized crystal structure of TbFe3 (PBE-GGA).

Cell lengths 5.030, 5.030, 5.030 Å; angles 135.57, 135.57, 64.65 degrees
Site moments in Bohr magnetons follow the coordinates.
Sites, in units of the cell vectors:
1 Fe 0.500 0.500 0.000  2.27
2 Fe 0.750 0.250 0.500  2.58
3 Fe 0.250 0.750 0.500  2.58
4 Tb 0.000 0.000 0.000  -0.31

Values from the calculation:
crystal system = tetragonal
formation energy from the elements = 328 meV/atom

=====

Entry 8:
Entry from the Open Quantum Materials Database: an optimized crystal structure of ScHgPb (PBE-GGA).

Cell lengths 4.870, 4.870, 4.870 Å; angles 60.00, 60.00, 60.00 degrees
Sites, in units of the cell vectors:
1 Hg 0.000 0.000 0.000
2 Pb 0.250 0.250 0.250
3 Sc 0.750 0.750 0.750

Values from the calculation:
E_tot = -10.5 eV for the cell shown
crystal system = cubic

=====

Entry 9:
Entry from the Open Quantum Materials Database: an optimized crystal structure of BaPr2O4 (PBE-GGA).

Cell lengths 7.333, 7.333, 7.333 Å; angles 119.99, 90.01, 119.99 degrees
Sites, in units of the cell vectors:
1 Ba 0.000 0.000 0.000
2 Ba 0.750 0.500 0.250
3 O 0.607 0.214 0.393
4 O 0.178 0.786 0.393
5 O 0.607 0.786 0.393
6 O 0.143 0.286 0.428
7 O 0.607 0.214 0.822
8 O 0.143 0.714 0.857
9 O 0.143 0.286 0.857
10 O 0.572 0.714 0.857
11 Pr 0.375 0.750 0.125
12 Pr 0.375 0.750 0.625
13 Pr 0.375 0.250 0.625
14 Pr 0.875 0.250 0.625

Values from the calculation:
E_tot = -105.7 eV for the cell shown
crystal system = cubic

=====

Entry 10:
Entry from the Open Quantum Materials Database: an optimized crystal structure of Ho2CoPd (PBE-GGA).

Cell lengths 4.264, 5.511, 7.042 Å; angles 90.00, 90.00, 90.00 degrees
Site moments in Bohr magnetons follow the coordinates.
Sites, in units of the cell vectors:
1 Co 0.000 0.601 0.042  0.15
2 Co 0.000 0.399 0.542  0.15
3 Ho 0.000 0.126 0.176  -0.02
4 Ho 0.500 0.609 0.320  -0.03
5 Ho 0.000 0.874 0.676  -0.02
6 Ho 0.500 0.391 0.820  -0.03
7 Pd 0.500 0.112 0.462  0.00
8 Pd 0.500 0.888 0.962  0.00

Values from the calculation:
crystal system = orthorhombic
formation energy from the elements = -525 meV/atom

=====

Entry 11:
Entry from the Open Quantum Materials Database: an optimized crystal structure of SrSnHgSe4 (PBE-GGA).

Cell lengths 13.045, 13.028, 15.708 Å; angles 53.00, 52.90, 74.10 degrees
Sites, in units of the cell vectors:
1 Hg 0.054 0.453 0.195
2 Hg 0.055 0.953 0.196
3 Hg 0.518 0.545 0.232
4 Hg 0.453 0.054 0.297
5 Hg 0.545 0.518 0.705
6 Hg 0.545 0.018 0.705
7 Hg 0.018 0.545 0.732
8 Hg 0.953 0.055 0.797
9 Se 0.738 0.052 0.015
10 Se 0.738 0.551 0.016
11 Se 0.597 0.273 0.154
12 Se 0.581 0.766 0.171
13 Se 0.052 0.738 0.195
14 Se 0.055 0.235 0.198
15 Se 0.313 0.484 0.255
16 Se 0.311 0.988 0.256
17 Se 0.805 0.994 0.262
18 Se 0.801 0.490 0.266
19 Se 0.492 0.300 0.439
20 Se 0.490 0.801 0.442
21 Se 0.988 0.311 0.445
22 Se 0.984 0.808 0.449
23 Se 0.766 0.581 0.483
24 Se 0.767 0.079 0.484
25 Se 0.235 0.055 0.512
26 Se 0.234 0.554 0.512
27 Se 0.096 0.275 0.653
28 Se 0.079 0.767 0.669
29 Se 0.551 0.738 0.696
30 Se 0.554 0.234 0.699
31 Se 0.811 0.481 0.758
32 Se 0.808 0.984 0.760
33 Se 0.303 0.995 0.766
34 Se 0.300 0.492 0.769
35 Se 0.995 0.303 0.937
36 Se 0.994 0.805 0.939
37 Se 0.484 0.313 0.947
38 Se 0.481 0.811 0.950
39 Se 0.273 0.597 0.975
40 Se 0.275 0.096 0.977
41 Sn 0.380 0.766 0.370
42 Sn 0.293 0.268 0.456
43 Sn 0.765 0.880 0.484
44 Sn 0.766 0.380 0.485
45 Sn 0.880 0.765 0.870
46 Sn 0.794 0.267 0.957
47 Sn 0.267 0.794 0.982
48 Sn 0.268 0.293 0.983
49 Sr 0.788 0.280 0.216
50 Sr 0.781 0.781 0.219
51 Sr 0.034 0.535 0.462
52 Sr 0.031 0.031 0.469
53 Sr 0.287 0.287 0.713
54 Sr 0.280 0.788 0.715
55 Sr 0.537 0.537 0.963
56 Sr 0.535 0.034 0.970

Values from the calculation:
E_tot = -204.3 eV for the cell shown
crystal system = orthorhombic

=====

Entry 12:
Entry from the Open Quantum Materials Database: an optimized crystal structure of Cs4Si2PdO7 (PBE-GGA).

Cell lengths 6.472, 7.341, 7.380 Å; angles 113.95, 100.52, 107.93 degrees
Sites, in units of the cell vectors:
1 Cs 0.937 0.460 0.225
2 Cs 0.667 0.894 0.268
3 Cs 0.333 0.106 0.732
4 Cs 0.063 0.540 0.775
5 O 0.000 0.000 0.000
6 O 0.462 0.234 0.225
7 O 0.200 0.864 0.236
8 O 0.177 0.260 0.424
9 O 0.823 0.740 0.576
10 O 0.800 0.136 0.764
11 O 0.538 0.766 0.775
12 Pd 0.500 0.500 0.500
13 Si 0.211 0.078 0.220
14 Si 0.789 0.922 0.780

Values from the calculation:
E_tot = -82.5 eV for the cell shown
crystal system = triclinic

=====

Entry 13:
Entry from the Open Quantum Materials Database: an optimized crystal structure of CsCuI2Cl (PBE-GGA).

Cell lengths 8.071, 8.071, 8.071 Å; angles 120.28, 120.28, 89.52 degrees
Sites, in units of the cell vectors:
1 Cl 0.312 0.312 0.000
2 Cl 0.688 0.688 0.000
3 Cs 0.750 0.250 0.500
4 Cs 0.250 0.750 0.500
5 Cu 0.000 0.000 0.000
6 Cu 0.500 0.500 0.000
7 I 0.773 0.227 0.000
8 I 0.227 0.773 0.000
9 I 0.227 0.227 0.455
10 I 0.773 0.773 0.545

Values from the calculation:
E_tot = -27.4 eV for the cell shown
crystal system = tetragonal

=====

Entry 14:
Entry from the Open Quantum Materials Database: an optimized crystal structure of Li2ZnAs (PBE-GGA).

Cell lengths 4.471, 4.471, 4.471 Å; angles 60.00, 60.00, 60.00 degrees
Sites, in units of the cell vectors:
1 As 0.000 0.000 0.000
2 Li 0.500 0.500 0.500
3 Li 0.750 0.750 0.750
4 Zn 0.250 0.250 0.250

Values from the calculation:
E_tot = -10.9 eV for the cell shown
crystal system = cubic

=====

Entry 15:
Entry from the Open Quantum Materials Database: an optimized crystal structure of GaSiOs (PBE-GGA).

Cell lengths 4.114, 4.114, 4.114 Å; angles 60.00, 60.00, 60.00 degrees
Sites, in units of the cell vectors:
1 Ga 0.250 0.250 0.250
2 Os 0.000 0.000 0.000
3 Si 0.750 0.750 0.750

Values from the calculation:
E_tot = -19.7 eV for the cell shown
crystal system = cubic

=====

Entry 16:
Entry from the Open Quantum Materials Database: an optimized crystal structure of CsSmTeO (PBE-GGA).

Cell lengths 4.529, 4.529, 10.914 Å; angles 90.00, 90.00, 90.00 degrees
Sites, in units of the cell vectors:
1 Cs 0.750 0.250 0.500
2 Cs 0.250 0.750 0.500
3 O 0.750 0.250 0.000
4 O 0.250 0.750 0.000
5 Sm 0.250 0.250 0.077
6 Sm 0.750 0.750 0.923
7 Te 0.750 0.750 0.247
8 Te 0.250 0.250 0.753

Values from the calculation:
E_tot = -41.1 eV for the cell shown
crystal system = tetragonal

=====

Entry 17:
Entry from the Open Quantum Materials Database: an optimized crystal structure of Lu3InC (PBE-GGA).

Cell lengths 4.781, 4.781, 4.781 Å; angles 90.00, 90.00, 90.00 degrees
Sites, in units of the cell vectors:
1 C 0.000 0.000 0.000
2 In 0.500 0.500 0.500
3 Lu 0.500 0.000 0.000
4 Lu 0.000 0.500 0.000
5 Lu 0.000 0.000 0.500

Values from the calculation:
E_tot = -28.4 eV for the cell shown
crystal system = cubic

=====

Entry 18:
Entry from the Open Quantum Materials Database: an optimized crystal structure of HoErAl2 (PBE-GGA).

Cell lengths 6.201, 6.201, 5.061 Å; angles 90.00, 90.00, 110.32 degrees
Sites, in units of the cell vectors:
1 Al 0.125 0.354 0.250
2 Al 0.646 0.875 0.250
3 Al 0.354 0.125 0.750
4 Al 0.875 0.646 0.750
5 Er 0.138 0.862 0.250
6 Er 0.862 0.138 0.750
7 Ho 0.627 0.373 0.250
8 Ho 0.373 0.627 0.750

Values from the calculation:
E_tot = -36.4 eV for the cell shown
crystal system = orthorhombic

=====

Entry 19:
Entry from the Open Quantum Materials Database: an optimized crystal structure of ScCuBiAu (PBE-GGA).

Cell lengths 4.828, 4.828, 4.828 Å; angles 60.00, 60.00, 60.00 degrees
Sites, in units of the cell vectors:
1 Au 0.500 0.500 0.500
2 Bi 0.000 0.000 0.000
3 Cu 0.250 0.250 0.250
4 Sc 0.750 0.750 0.750

Values from the calculation:
E_tot = -18.4 eV for the cell shown
crystal system = cubic

=====

Entry 20:
Entry from the Open Quantum Materials Database: an optimized crystal structure of BeTlCdCo (PBE-GGA).

Cell lengths 4.461, 4.461, 4.461 Å; angles 60.00, 60.00, 60.00 degrees
Site moments in Bohr magnetons follow the coordinates.
Sites, in units of the cell vectors:
1 Be 0.250 0.250 0.250  0.00
2 Cd 0.500 0.500 0.500  0.00
3 Co 0.750 0.750 0.750  0.07
4 Tl 0.000 0.000 0.000  0.00

Values from the calculation:
E_tot = -11.8 eV for the cell shown
crystal system = cubic